A geometry-optimized Zr2Si3Ru5 structure. Source: Alexandria, functional PBE.

Calculated values
Calculated total energy, eV per cell: -173.438
Formation energy from raw total energies, eV per formula unit: -6.97
Fermi-level density of states, states/eV/f.u.: 7.16
Size of the total moment, μB/atom: 0.000

Unit cell a=4.072 b=6.218 c=12.099 alpha=90.00 beta=99.69 gamma=90.00
Fractional positions:
Zr  0.484  0.747  0.967
Zr  0.173  0.735  0.346
Zr  0.827  0.235  0.654
Zr  0.516  0.247  0.033
Si  0.773  0.731  0.546
Si  0.610  0.500  0.219
Si  0.048  0.971  0.095
Si  0.227  0.231  0.454
Si  0.952  0.471  0.905
Si  0.390  0.000  0.781
Ru  0.401  0.399  0.801
Ru  0.295  0.516  0.589
Ru  0.705  0.016  0.411
Ru  0.128  0.234  0.255
Ru  0.292  0.941  0.583
Ru  0.945  0.090  0.891
Ru  0.708  0.441  0.417
Ru  0.872  0.734  0.745
Ru  0.055  0.590  0.109
Ru  0.599  0.899  0.199

A geometry-optimized Zr2SiRu structure. Source: Alexandria, functional PBE.

Calculated values
Calculated total energy, eV per cell: -32.866
Formation energy from raw total energies, eV per formula unit: -1.07
Fermi-level density of states, states/eV/f.u.: 4.81
Size of the total moment, μB/atom: 0.213

Unit cell a=4.595 b=4.595 c=4.595 alpha=60.00 beta=60.00 gamma=60.00
Last column: magnetic moment on the atom in μB.
Fractional positions:
Ru  0.500  0.500  0.500  0.07
Si  0.750  0.750  0.750  -0.01
Zr  0.000  0.000  0.000  0.43
Zr  0.250  0.250  0.250  0.15

A geometry-optimized ZrSi2Ru structure. Source: Alexandria, functional PBE.

Calculated values
Calculated total energy, eV per cell: -30.926
Formation energy from raw total energies, eV per formula unit: -2.26
Fermi-level density of states, states/eV/f.u.: 0.61
Size of the total moment, μB/atom: 0.000

Unit cell a=3.131 b=3.131 c=6.259 alpha=90.00 beta=90.00 gamma=90.01
Fractional positions:
Ru  0.500  0.500  0.815
Si  0.000  0.000  0.991
Si  0.500  0.500  0.213
Zr  0.000  0.000  0.481

A geometry-optimized Zr4SiRu structure. Source: Alexandria, functional PBE.

Calculated values
Calculated total energy, eV per cell: -46.132
Formation energy from raw total energies, eV per formula unit: 2.76
Fermi-level density of states, states/eV/f.u.: 7.73
Size of the total moment, μB/atom: 0.000

Unit cell a=5.539 b=5.539 c=5.539 alpha=60.00 beta=60.00 gamma=60.00
Fractional positions:
Zr  0.873  0.376  0.376
Zr  0.376  0.376  0.873
Zr  0.376  0.873  0.376
Zr  0.376  0.376  0.376
Si  0.000  0.000  0.000
Ru  0.750  0.750  0.750

A geometry-optimized ZrSi2Ru structure. Source: Alexandria, functional PBE.

Calculated values
Calculated total energy, eV per cell: -29.959
Formation energy from raw total energies, eV per formula unit: -1.29
Fermi-level density of states, states/eV/f.u.: 3.56
Size of the total moment, μB/atom: 0.000

Unit cell a=5.232 b=5.232 c=5.232 alpha=147.07 beta=122.47 gamma=67.90
Fractional positions:
Ru  0.250  0.750  0.500
Si  0.026  0.026  0.000
Si  0.474  0.474  0.000
Zr  0.750  0.250  0.500

A geometry-optimized Zr2Si2Ru structure. Source: Alexandria, functional PBE.

Calculated values
Calculated total energy, eV per cell: -39.137
Formation energy from raw total energies, eV per formula unit: -1.92
Fermi-level density of states, states/eV/f.u.: 2.12
Size of the total moment, μB/atom: 0.000

Unit cell a=8.194 b=8.194 c=8.194 alpha=156.24 beta=156.24 gamma=33.85
Fractional positions:
Zr  0.604  0.604  0.000
Zr  0.396  0.396  0.000
Si  0.250  0.750  0.500
Si  0.750  0.250  0.500
Ru  0.000  0.000  0.000

A geometry-optimized Zr4Si6Ru7 structure. Source: Alexandria, functional PBE.

Calculated values
Calculated total energy, eV per cell: -144.899
Formation energy from raw total energies, eV per formula unit: -13.24
Fermi-level density of states, states/eV/f.u.: 9.12
Size of the total moment, μB/atom: 0.000

Unit cell a=6.988 b=6.988 c=6.988 alpha=109.47 beta=109.47 gamma=109.47
Fractional positions:
Zr  0.500  0.000  0.000
Zr  0.500  0.500  0.500
Zr  0.000  0.500  0.000
Zr  0.000  0.000  0.500
Si  0.688  0.000  0.688
Si  0.688  0.688  0.000
Si  0.000  0.312  0.312
Si  0.312  0.000  0.312
Si  0.312  0.312  0.000
Si  0.000  0.688  0.688
Ru  0.750  0.500  0.250
Ru  0.250  0.750  0.500
Ru  0.500  0.750  0.250
Ru  0.750  0.250  0.500
Ru  0.250  0.500  0.750
Ru  0.500  0.250  0.750
Ru  0.000  0.000  0.000

A geometry-optimized Zr3SiRu structure. Source: Alexandria, functional PBE.

Calculated values
Calculated total energy, eV per cell: -38.498
Energy above the lowest structure with this stoichiometry, meV per atom: 0
Formation energy from raw total energies, eV per formula unit: 1.85
Fermi-level density of states, states/eV/f.u.: 8.41
Size of the total moment, μB/atom: 0.000

Unit cell a=4.953 b=4.953 c=4.953 alpha=90.00 beta=90.00 gamma=90.00
Fractional positions:
Ru  0.000  0.000  0.000
Si  0.500  0.500  0.500
Zr  0.000  0.500  0.000
Zr  0.000  0.000  0.500
Zr  0.500  0.000  0.000

A geometry-optimized Sm3Ru structure. Source: Alexandria, functional PBE.

Calculated values
Calculated total energy, eV per cell: -192.352
E_form, eV/atom: -0.15
Fermi-level density of states, states/eV/f.u.: 4.40
Size of the total moment, μB/atom: 0.000

Unit cell a=6.450 b=11.757 c=11.757 alpha=90.00 beta=90.00 gamma=90.00
Fractional positions:
Sm  0.058  0.282  0.846
Sm  0.058  0.718  0.154
Sm  0.558  0.654  0.782
Sm  0.558  0.346  0.218
Sm  0.442  0.218  0.654
Sm  0.442  0.782  0.346
Sm  0.942  0.846  0.718
Sm  0.942  0.154  0.282
Sm  0.560  0.362  0.918
Sm  0.560  0.638  0.082
Sm  0.060  0.582  0.862
Sm  0.060  0.418  0.138
Sm  0.940  0.138  0.582
Sm  0.940  0.862  0.418
Sm  0.440  0.918  0.638
Sm  0.440  0.082  0.362
Sm  0.726  0.059  0.870
Sm  0.726  0.941  0.130
Sm  0.226  0.630  0.559
Sm  0.226  0.370  0.441
Sm  0.774  0.441  0.630
Sm  0.774  0.559  0.370
Sm  0.274  0.870  0.941
Sm  0.274  0.130  0.059
Ru  0.757  0.803  0.935
Ru  0.757  0.197  0.065
Ru  0.257  0.565  0.303
Ru  0.257  0.435  0.697
Ru  0.743  0.697  0.565
Ru  0.743  0.303  0.435
Ru  0.243  0.935  0.197
Ru  0.243  0.065  0.803

A geometry-optimized Sm3Ru structure. Source: Alexandria, functional PBE.

Calculated values
Calculated total energy, eV per cell: -97.491
E_form, eV/atom: -0.23
Fermi-level density of states, states/eV/f.u.: 3.74
Size of the total moment, μB/atom: 0.000

Unit cell a=6.433 b=7.378 c=9.551 alpha=90.00 beta=90.00 gamma=90.00
Fractional positions:
Sm  0.330  0.677  0.066
Sm  0.170  0.177  0.434
Sm  0.670  0.323  0.566
Sm  0.830  0.823  0.934
Sm  0.670  0.323  0.934
Sm  0.830  0.823  0.566
Sm  0.330  0.677  0.434
Sm  0.170  0.177  0.066
Sm  0.859  0.542  0.250
Sm  0.641  0.042  0.250
Sm  0.141  0.458  0.750
Sm  0.359  0.958  0.750
Ru  0.048  0.886  0.250
Ru  0.452  0.386  0.250
Ru  0.952  0.114  0.750
Ru  0.548  0.614  0.750

A geometry-optimized Sm3Ru structure. Source: Alexandria, functional PBE.

Calculated values
Calculated total energy, eV per cell: -22.992
E_form, eV/atom: 0.11
Fermi-level density of states, states/eV/f.u.: 3.59
Size of the total moment, μB/atom: 0.000

Unit cell a=3.693 b=3.426 c=9.426 alpha=90.00 beta=90.00 gamma=90.00
Fractional positions:
Ru  0.000  0.000  0.974
Sm  0.000  0.500  0.469
Sm  0.500  0.500  0.127
Sm  0.500  0.000  0.763

A geometry-optimized Sm4Ru structure. Source: Alexandria, functional PBE.

Calculated values
Calculated total energy, eV per cell: -53.698
E_form, eV/atom: 0.26
Energy above the lowest structure with this stoichiometry, meV per atom: 255
Fermi-level density of states, states/eV/f.u.: 3.86
Size of the total moment, μB/atom: 0.000

Unit cell a=7.723 b=7.723 c=7.723 alpha=60.00 beta=60.00 gamma=60.00
Fractional positions:
Sm  0.862  0.862  0.862
Sm  0.862  0.413  0.862
Sm  0.862  0.862  0.413
Sm  0.388  0.837  0.388
Sm  0.388  0.388  0.388
Sm  0.413  0.862  0.862
Sm  0.388  0.388  0.837
Sm  0.837  0.388  0.388
Ru  0.250  0.250  0.250
Ru  0.000  0.000  0.000

A geometry-optimized Sm3Ru structure. Source: Alexandria, functional PBE.

Calculated values
Calculated total energy, eV per cell: -96.545
E_form, eV/atom: -0.18
Fermi-level density of states, states/eV/f.u.: 4.12
Size of the total moment, μB/atom: 0.000

Unit cell a=6.278 b=8.947 c=8.947 alpha=82.93 beta=69.46 gamma=69.46
Fractional positions:
Sm  0.334  0.000  0.808
Sm  0.142  0.000  0.192
Sm  0.858  0.808  0.000
Sm  0.666  0.192  0.000
Sm  0.500  0.358  0.642
Sm  0.500  0.642  0.358
Sm  0.858  0.642  0.642
Sm  0.142  0.358  0.358
Sm  0.001  0.000  0.595
Sm  0.595  0.000  0.405
Sm  0.405  0.595  0.000
Sm  0.999  0.405  0.000
Ru  0.000  0.290  0.710
Ru  0.000  0.710  0.290
Ru  0.290  0.710  0.710
Ru  0.710  0.290  0.290

A geometry-optimized Sm4Ru structure. Source: Alexandria, functional PBE.

Calculated values
Calculated total energy, eV per cell: -28.122
E_form, eV/atom: 0.01
Energy above the lowest structure with this stoichiometry, meV per atom: 0
Fermi-level density of states, states/eV/f.u.: 8.33
Size of the total moment, μB/atom: 0.215

Unit cell a=5.489 b=5.489 c=5.489 alpha=90.00 beta=90.00 gamma=90.00
Last column: magnetic moment on the atom in μB.
Fractional positions:
Ru  0.500  0.500  0.500  0.00
Sm  0.000  0.000  0.000  0.24
Sm  0.500  0.000  0.500  0.08
Sm  0.000  0.500  0.500  0.08
Sm  0.500  0.500  0.000  0.08

A geometry-optimized SmRu4 structure. Source: Alexandria, functional PBE.

Calculated values
Calculated total energy, eV per cell: -29.625
E_form, eV/atom: 2.44
Fermi-level density of states, states/eV/f.u.: 5.34
Size of the total moment, μB/atom: 1.302

Unit cell a=4.815 b=4.815 c=4.815 alpha=90.00 beta=90.00 gamma=90.00
Last column: magnetic moment on the atom in μB.
Fractional positions:
Ru  0.000  0.000  0.000  2.56
Ru  0.500  0.000  0.500  1.33
Ru  0.000  0.500  0.500  1.33
Ru  0.500  0.500  0.000  1.33
Sm  0.500  0.500  0.500  -0.11

A geometry-optimized Sm3Ru structure. Source: Alexandria, functional PBE.

Calculated values
Calculated total energy, eV per cell: -23.970
E_form, eV/atom: -0.13
Fermi-level density of states, states/eV/f.u.: 3.66
Size of the total moment, μB/atom: 0.000

Unit cell a=3.693 b=5.512 c=6.373 alpha=115.62 beta=106.84 gamma=90.00
Fractional positions:
Ru  0.000  0.951  0.000
Sm  0.304  0.710  0.608
Sm  0.500  0.404  0.000
Sm  0.696  0.101  0.392

A geometry-optimized Sm3Sn2Ru structure. Source: Alexandria, functional PBE.

Calculated values
Calculated total energy, eV per cell: -140.624
E_form, eV/atom: -0.62
Fermi-level density of states, states/eV/f.u.: 4.33
Size of the total moment, μB/atom: 0.000

Unit cell a=4.405 b=11.843 c=12.677 alpha=90.00 beta=90.00 gamma=90.00
Fractional positions:
Sm  0.250  0.372  0.054
Sm  0.750  0.628  0.946
Sm  0.750  0.872  0.446
Sm  0.250  0.128  0.554
Sm  0.250  0.712  0.241
Sm  0.750  0.288  0.759
Sm  0.750  0.212  0.259
Sm  0.250  0.788  0.741
Sm  0.250  0.454  0.380
Sm  0.750  0.546  0.620
Sm  0.750  0.954  0.120
Sm  0.250  0.046  0.880
Sn  0.250  0.692  0.499
Sn  0.750  0.308  0.501
Sn  0.750  0.192  0.001
Sn  0.250  0.808  0.999
Sn  0.250  0.006  0.310
Sn  0.750  0.994  0.690
Sn  0.750  0.506  0.190
Sn  0.250  0.494  0.810
Ru  0.250  0.133  0.128
Ru  0.750  0.867  0.872
Ru  0.750  0.633  0.372
Ru  0.250  0.367  0.628

A geometry-optimized SmSn8Ru2 structure. Source: Alexandria, functional PBE.

Calculated values
Calculated total energy, eV per cell: -55.331
E_form, eV/atom: 0.00
Fermi-level density of states, states/eV/f.u.: 9.02
Size of the total moment, μB/atom: 0.000

Unit cell a=6.430 b=6.430 c=7.621 alpha=90.00 beta=90.00 gamma=90.00
Fractional positions:
Sm  0.500  0.500  0.500
Sn  0.755  0.755  0.207
Sn  0.755  0.245  0.793
Sn  0.755  0.755  0.793
Sn  0.755  0.245  0.207
Sn  0.245  0.755  0.207
Sn  0.245  0.755  0.793
Sn  0.245  0.245  0.207
Sn  0.245  0.245  0.793
Ru  0.500  0.000  0.000
Ru  0.000  0.500  0.000

A geometry-optimized Sm4SnRu2 structure. Source: Alexandria, functional PBE.

Calculated values
Calculated total energy, eV per cell: -87.194
E_form, eV/atom: -0.31
Fermi-level density of states, states/eV/f.u.: 4.80
Size of the total moment, μB/atom: 0.000

Unit cell a=7.028 b=7.599 c=7.981 alpha=105.85 beta=106.36 gamma=104.25
Fractional positions:
Sm  0.063  0.277  0.439
Sm  0.418  0.593  0.252
Sm  0.847  0.618  0.637
Sm  0.733  0.093  0.704
Sm  0.451  0.097  0.298
Sm  0.286  0.164  0.853
Sm  0.441  0.727  0.851
Sm  0.839  0.539  0.071
Sn  0.171  0.825  0.472
Sn  0.960  0.967  0.037
Ru  0.507  0.368  0.670
Ru  0.770  0.882  0.301
Ru  0.675  0.156  0.079
Ru  0.088  0.444  0.836

A geometry-optimized SmSn6Ru4 structure. Source: Alexandria, functional PBE.

Calculated values
Calculated total energy, eV per cell: -69.525
E_form, eV/atom: -0.34
Fermi-level density of states, states/eV/f.u.: 7.54
Size of the total moment, μB/atom: 0.000

Unit cell a=6.929 b=6.929 c=6.958 alpha=119.86 beta=119.86 gamma=90.01
Fractional positions:
Ru  0.595  0.250  0.844
Ru  0.405  0.405  0.156
Ru  0.250  0.595  0.844
Ru  0.750  0.750  0.156
Sn  0.530  0.882  0.412
Sn  0.882  0.530  0.412
Sn  0.118  0.118  0.588
Sn  0.500  0.000  0.000
Sn  0.470  0.470  0.588
Sn  0.000  0.500  0.000
Sm  0.000  0.000  0.000